Record 1
DFT (PBE) results for crystalline Cd2Ga3 at its relaxed geometry.

Cell: 8.2866 8.2866 5.0801 Å, 91.81 91.81 141.66°
Positions (direct):
Cd 0.0000 0.5000 0.5000
Cd 0.1763 0.8237 0.0000
Cd 0.5000 0.0000 0.5000
Cd 0.8237 0.1763 0.0000
Ga 0.1213 0.1213 0.2694
Ga 0.3245 0.5022 0.7458
Ga 0.4978 0.6755 0.2542
Ga 0.5022 0.3245 0.7458
Ga 0.6755 0.4978 0.2542
Ga 0.8787 0.8787 0.7306

**Distance to the lowest polymorph of the same formula**: 0.000 eV/atom
**Calculated formation energy**: 0.07 eV per atom
**Total DFT energy (no corrections)**: -2.1091 eV per atom
**Magnetization**: 0.00 μB/atom

***

Record 2
DFT (PBE) results for crystalline Zr2Ga2Pd5 at its relaxed geometry.

Cell: 8.8788 8.8788 8.8788 Å, 63.39 133.13 139.83°
Positions (direct):
Zr 0.0597 0.1170 0.1767
Zr 0.0597 0.3830 0.4428
Zr 0.9403 0.6170 0.5572
Zr 0.9403 0.8830 0.8233
Ga 0.3748 0.3748 0.0000
Ga 0.3748 0.8748 0.5000
Ga 0.6316 0.9209 0.2107
Ga 0.7102 0.4209 0.7893
Pd 0.1355 0.0838 0.5517
Pd 0.1840 0.5203 0.9872
Pd 0.1840 0.6969 0.1637
Pd 0.5126 0.1941 0.3009
Pd 0.5126 0.7117 0.8185
Pd 0.5321 0.5838 0.4483
Pd 0.5332 0.0203 0.8363
Pd 0.5332 0.1969 0.0128
Pd 0.8932 0.2117 0.6991
Pd 0.8932 0.6941 0.1815

**Calculated formation energy**: -0.50 eV per atom
**Total DFT energy (no corrections)**: -5.9544 eV per atom
**Magnetization**: 0.00 μB/atom

***

Record 3
DFT (PBE) results for crystalline TlH2PdCl8 at its relaxed geometry.

Cell: 6.5164 6.8219 7.4324 Å, 89.95 86.94 88.91°
Positions (direct):
Tl 0.0000 0.0000 0.0000
H 0.2467 0.6952 0.2249
H 0.7533 0.3048 0.7751
Pd 0.0000 0.0000 0.5000
Cl 0.1905 0.1661 0.2671
Cl 0.2227 0.7260 0.4674
Cl 0.2295 0.1369 0.7466
Cl 0.2637 0.6758 0.0364
Cl 0.7363 0.3242 0.9636
Cl 0.7705 0.8631 0.2534
Cl 0.7773 0.2740 0.5326
Cl 0.8095 0.8339 0.7329

**Total DFT energy (no corrections)**: -2.9163 eV per atom
**Magnetization**: 0.08 μB/atom

***

Record 4
DFT (PBE) results for crystalline KY2Mg at its relaxed geometry.

Cell: 7.0527 7.0527 7.0527 Å, 149.43 129.24 60.42°
Positions (direct):
K 0.0000 0.0000 0.0000
Y 0.4615 0.4615 0.0000
Y 0.7172 0.2172 0.5000
Mg 0.2413 0.7413 0.5000

**Calculated formation energy**: 0.39 eV per atom
**Total DFT energy (no corrections)**: -3.5123 eV per atom
**Magnetization**: 0.17 μB/atom

***

Record 5
DFT (PBE) results for crystalline CoOsRh2 at its relaxed geometry.

Cell: 3.7687 3.7687 3.7866 Å, 90.00 90.00 90.00°
Positions (direct):
Co 0.0000 0.0000 0.0000
Os 0.5000 0.5000 0.0000
Rh 0.0000 0.5000 0.5000
Rh 0.5000 0.0000 0.5000

**Distance to the lowest polymorph of the same formula**: 0.082 eV/atom
**Calculated formation energy**: 0.16 eV per atom
**Total DFT energy (no corrections)**: -8.0983 eV per atom
**Magnetization**: 0.46 μB/atom

***

Record 6
DFT (PBE) results for crystalline Er2MgV at its relaxed geometry.

Cell: 3.5742 3.5742 7.7695 Å, 90.00 90.00 90.00°
Positions (direct):
Er 0.0000 0.0000 0.2183
Er 0.0000 0.0000 0.7817
Mg 0.5000 0.5000 0.5000
V 0.5000 0.5000 0.0000

**Distance to the lowest polymorph of the same formula**: 0.000 eV/atom
**Calculated formation energy**: 0.11 eV per atom
**Total DFT energy (no corrections)**: -4.8485 eV per atom
**Magnetization**: 0.74 μB/atom

***

Record 7
DFT (PBE) results for crystalline Zr4GaSn2 at its relaxed geometry.

Cell: 5.6445 7.1777 8.7464 Å, 88.41 71.27 66.89°
Positions (direct):
Zr 0.1688 0.2918 0.3686
Zr 0.1759 0.7680 0.8782
Zr 0.2335 0.2694 0.7575
Zr 0.2594 0.7344 0.2423
Zr 0.7406 0.2656 0.7577
Zr 0.7665 0.7306 0.2425
Zr 0.8241 0.2320 0.1218
Zr 0.8312 0.7082 0.6314
Ga 0.2635 0.4220 0.0558
Ga 0.7365 0.5780 0.9442
Sn 0.2555 0.9310 0.5597
Sn 0.5000 0.0000 0.0000
Sn 0.5000 0.5000 0.5000
Sn 0.7445 0.0690 0.4403

**Distance to the lowest polymorph of the same formula**: 0.000 eV/atom
**Calculated formation energy**: -0.42 eV per atom
**Total DFT energy (no corrections)**: -6.8811 eV per atom
**Magnetization**: 0.00 μB/atom

***

Record 8
DFT (PBE) results for crystalline BaGaOsO6 at its relaxed geometry.

Cell: 5.2849 5.2849 5.6920 Å, 90.00 90.00 120.00°
Positions (direct):
Ba 0.0000 0.0000 0.0000
Ga 0.3333 0.6667 0.5000
Os 0.6667 0.3333 0.5000
O 0.4082 0.0134 0.6941
O 0.4082 0.3948 0.3059
O 0.6052 0.0134 0.3059
O 0.6052 0.5918 0.6941
O 0.9866 0.3948 0.6941
O 0.9866 0.5918 0.3059

**Total DFT energy (no corrections)**: -6.7759 eV per atom
**Formation energy from raw total energies**: -15.1 eV/f.u.
**Magnetization**: 0.09 μB/atom

***

Record 9
DFT (PBE) results for crystalline DyIBr3 at its relaxed geometry.

Cell: 8.0022 8.0022 8.0022 Å, 115.45 100.12 113.24°
Positions (direct):
Dy 0.5000 0.0000 0.0000
Dy 0.5000 0.5000 0.5000
I 0.2443 0.4943 0.7500
I 0.7557 0.5057 0.2500
Br 0.2338 0.0000 0.7338
Br 0.2338 0.5000 0.2338
Br 0.2905 0.0406 0.2503
Br 0.7095 0.9594 0.7497
Br 0.7662 0.0000 0.2662
Br 0.7662 0.5000 0.7662

**Total DFT energy (no corrections)**: -3.4278 eV per atom
**Formation energy from raw total energies**: -6.0 eV/f.u.
**Magnetization**: 0.16 μB/atom

***

Record 10
DFT (PBE) results for crystalline NaSrCr2 at its relaxed geometry.

Cell: 6.9142 6.9142 6.9142 Å, 102.33 102.33 124.96°
Positions (direct):
Na 0.0000 0.0000 0.0000
Na 0.7500 0.2500 0.5000
Sr 0.2500 0.7500 0.5000
Sr 0.5000 0.5000 0.0000
Cr 0.1033 0.6250 0.9783
Cr 0.3750 0.3533 0.4783
Cr 0.6467 0.1250 0.0217
Cr 0.8750 0.8967 0.5217

**Distance to the lowest polymorph of the same formula**: 0.129 eV/atom
**Calculated formation energy**: 1.10 eV per atom
**Total DFT energy (no corrections)**: -4.4628 eV per atom
**Magnetization**: 2.37 μB/atom

***

Record 11
DFT (PBE) results for crystalline Cu5Br4 at its relaxed geometry.

Cell: 7.5014 7.5014 7.5014 Å, 93.21 93.21 152.63°
Positions (direct):
Cu 0.0000 0.0000 0.0000
Cu 0.3105 0.3105 0.6210
Cu 0.3105 0.6895 0.0000
Cu 0.6895 0.3105 0.0000
Cu 0.6895 0.6895 0.3790
Br 0.0000 0.2494 0.2494
Br 0.0000 0.7506 0.7506
Br 0.2494 0.0000 0.2494
Br 0.7506 0.0000 0.7506

**Distance to the lowest polymorph of the same formula**: 0.000 eV/atom
**Total DFT energy (no corrections)**: -2.8988 eV per atom
**Formation energy from raw total energies**: 1.1 eV/f.u.
**Magnetization**: 0.00 μB/atom

***

Record 12
DFT (PBE) results for crystalline Ba2NaInCl at its relaxed geometry.

Cell: 6.2307 6.2307 5.1024 Å, 90.00 90.00 90.00°
Positions (direct):
Ba 0.0000 0.5000 0.0000
Ba 0.5000 0.0000 0.0000
Na 0.0000 0.0000 0.5000
In 0.5000 0.5000 0.5000
Cl 0.0000 0.0000 0.0000

**Total DFT energy (no corrections)**: -2.7253 eV per atom
**Formation energy from raw total energies**: -3.9 eV/f.u.
**Magnetization**: 0.00 μB/atom

***

Record 13
DFT (PBE) results for crystalline CaAcSe2 at its relaxed geometry.

Cell: 4.2727 4.2727 14.8387 Å, 90.00 90.00 120.00°
Positions (direct):
Ca 0.0000 0.0000 0.0000
Ca 0.0000 0.0000 0.5000
Ac 0.3333 0.6667 0.2500
Ac 0.6667 0.3333 0.7500
Se 0.3333 0.6667 0.6132
Se 0.3333 0.6667 0.8868
Se 0.6667 0.3333 0.1132
Se 0.6667 0.3333 0.3868

**Distance to the lowest polymorph of the same formula**: 0.006 eV/atom
**Total DFT energy (no corrections)**: -5.1700 eV per atom
**Formation energy from raw total energies**: -7.6 eV/f.u.
**Magnetization**: 0.21 μB/atom

***

Record 14
DFT (PBE) results for crystalline SiSbBr at its relaxed geometry.

Cell: 3.9109 3.9109 6.4629 Å, 90.00 90.00 120.00°
Positions (direct):
Si 0.0000 0.0000 0.0000
Sb 0.6667 0.3333 0.7980
Br 0.3333 0.6667 0.2938

**Distance to the lowest polymorph of the same formula**: 0.121 eV/atom
**Total DFT energy (no corrections)**: -3.6010 eV per atom
**Formation energy from raw total energies**: 0.4 eV/f.u.
**Magnetization**: 0.00 μB/atom

***

Record 15
DFT (PBE) results for crystalline Zr6CdIn at its relaxed geometry.

Cell: 5.6388 5.6388 5.6388 Å, 90.00 90.00 90.00°
Positions (direct):
Zr 0.0000 0.2507 0.5000
Zr 0.0000 0.7493 0.5000
Zr 0.2507 0.5000 0.0000
Zr 0.5000 0.0000 0.2507
Zr 0.5000 0.0000 0.7493
Zr 0.7493 0.5000 0.0000
Cd 0.5000 0.5000 0.5000
In 0.0000 0.0000 0.0000

**Distance to the lowest polymorph of the same formula**: 0.003 eV/atom
**Calculated formation energy**: -0.17 eV per atom
**Total DFT energy (no corrections)**: -7.0331 eV per atom
**Magnetization**: 0.00 μB/atom

***

Record 16
DFT (PBE) results for crystalline Er2ZnGa3Pd4 at its relaxed geometry.

Cell: 4.0005 4.0005 11.4757 Å, 90.00 90.00 90.00°
Positions (direct):
Er 0.0000 0.5000 0.2429
Er 0.5000 0.0000 0.7571
Zn 0.5000 0.5000 0.0000
Ga 0.0000 0.0000 0.0000
Ga 0.0000 0.5000 0.6348
Ga 0.5000 0.0000 0.3652
Pd 0.0000 0.0000 0.5000
Pd 0.0000 0.5000 0.8513
Pd 0.5000 0.0000 0.1487
Pd 0.5000 0.5000 0.5000

**Calculated formation energy**: -0.74 eV per atom
**Total DFT energy (no corrections)**: -4.7664 eV per atom
**Magnetization**: 0.00 μB/atom

***

Record 17
DFT (PBE) results for crystalline TbEuBi2 at its relaxed geometry.

Cell: 8.0979 8.0979 8.0979 Å, 32.56 32.56 32.56°
Positions (direct):
Tb 0.0000 0.0000 0.0000
Eu 0.5000 0.5000 0.5000
Bi 0.2542 0.2542 0.2542
Bi 0.7458 0.7458 0.7458

**Distance to the lowest polymorph of the same formula**: 0.000 eV/atom
**Calculated formation energy**: -0.80 eV per atom
**Total DFT energy (no corrections)**: -6.4695 eV per atom
**Magnetization**: 1.67 μB/atom

***

Record 18
DFT (PBE) results for crystalline Ga2SbF at its relaxed geometry.

Cell: 7.9756 7.9756 7.9756 Å, 143.32 143.32 52.84°
Positions (direct):
Ga 0.0278 0.6250 0.9028
Ga 0.3750 0.2778 0.4028
Ga 0.7222 0.1250 0.0972
Ga 0.8750 0.9722 0.5972
Sb 0.2500 0.7500 0.5000
Sb 0.5000 0.5000 0.0000
F 0.0000 0.0000 0.0000
F 0.7500 0.2500 0.5000

**Distance to the lowest polymorph of the same formula**: 0.036 eV/atom
**Total DFT energy (no corrections)**: -3.6011 eV per atom
**Formation energy from raw total energies**: -2.4 eV/f.u.
**Magnetization**: 0.00 μB/atom

***

Record 19
DFT (PBE) results for crystalline InFe2Os2 at its relaxed geometry.

Cell: 7.3357 7.3357 2.6912 Å, 90.00 90.00 90.00°
Positions (direct):
In 0.0000 0.0000 0.0000
In 0.5000 0.5000 0.0000
Fe 0.1631 0.3369 0.5000
Fe 0.3369 0.8369 0.5000
Fe 0.6631 0.1631 0.5000
Fe 0.8369 0.6631 0.5000
Os 0.1262 0.6262 0.0000
Os 0.3738 0.1262 0.0000
Os 0.6262 0.8738 0.0000
Os 0.8738 0.3738 0.0000

**Distance to the lowest polymorph of the same formula**: 0.000 eV/atom
**Calculated formation energy**: 0.42 eV per atom
**Total DFT energy (no corrections)**: -8.0024 eV per atom
**Magnetization**: 0.02 μB/atom

***

Record 20
DFT (PBE) results for crystalline YV2Co2 at its relaxed geometry.

Cell: 7.3611 7.3611 2.6748 Å, 90.00 90.00 90.00°
Positions (direct):
Y 0.0000 0.0000 0.0000
Y 0.5000 0.5000 0.0000
V 0.1448 0.3552 0.0000
V 0.3552 0.8552 0.0000
V 0.6448 0.1448 0.0000
V 0.8552 0.6448 0.0000
Co 0.1407 0.6407 0.5000
Co 0.3593 0.1407 0.5000
Co 0.6407 0.8593 0.5000
Co 0.8593 0.3593 0.5000

**Distance to the lowest polymorph of the same formula**: 0.284 eV/atom
**Calculated formation energy**: 0.13 eV per atom
**Total DFT energy (no corrections)**: -7.6574 eV per atom
**Magnetization**: 0.00 μB/atom

***

Record 21
DFT (PBE) results for crystalline YCd2 at its relaxed geometry.

Cell: 6.6323 6.6323 6.6323 Å, 149.76 149.76 43.30°
Positions (direct):
Y 0.0000 0.0000 0.0000
Cd 0.3257 0.3257 0.0000
Cd 0.6743 0.6743 0.0000

**Calculated formation energy**: -0.25 eV per atom
**Total DFT energy (no corrections)**: -3.0160 eV per atom
**Magnetization**: 0.08 μB/atom

***

Record 22
DFT (PBE) results for crystalline YSc2V2 at its relaxed geometry.

Cell: 8.0410 8.0410 3.3351 Å, 90.00 90.00 90.00°
Positions (direct):
Y 0.0000 0.0000 0.0000
Y 0.5000 0.5000 0.0000
Sc 0.1971 0.3029 0.5000
Sc 0.3029 0.8029 0.5000
Sc 0.6971 0.1971 0.5000
Sc 0.8029 0.6971 0.5000
V 0.0872 0.5872 0.0000
V 0.4128 0.0872 0.0000
V 0.5872 0.9128 0.0000
V 0.9128 0.4128 0.0000

**Distance to the lowest polymorph of the same formula**: 0.000 eV/atom
**Calculated formation energy**: 0.26 eV per atom
**Total DFT energy (no corrections)**: -7.2162 eV per atom
**Magnetization**: 0.11 μB/atom

***

Record 23
DFT (PBE) results for crystalline ZnSiHg2 at its relaxed geometry.

Cell: 2.9395 4.4737 6.6003 Å, 90.00 99.70 90.00°
Positions (direct):
Zn 0.0000 0.0000 0.0000
Si 0.0000 0.0000 0.5000
Hg 0.0808 0.5000 0.7521
Hg 0.9192 0.5000 0.2479

**Distance to the lowest polymorph of the same formula**: 0.109 eV/atom
**Total DFT energy (no corrections)**: -1.4779 eV per atom
**Formation energy from raw total energies**: 1.4 eV/f.u.
**Magnetization**: 0.00 μB/atom

***

Record 24
DFT (PBE) results for crystalline LiNpHgBi at its relaxed geometry.

Cell: 5.2522 5.2522 5.2522 Å, 60.00 60.00 60.00°
Positions (direct):
Li 0.0000 0.0000 0.0000
Np 0.5000 0.5000 0.5000
Hg 0.7500 0.7500 0.7500
Bi 0.2500 0.2500 0.2500

**Calculated formation energy**: -0.06 eV per atom
**Total DFT energy (no corrections)**: -4.8221 eV per atom
**Magnetization**: 1.20 μB/atom

***

Record 25
DFT (PBE) results for crystalline DyY2S2 at its relaxed geometry.

Cell: 9.7628 9.7628 9.7628 Å, 22.65 22.65 22.65°
Positions (direct):
Dy 0.0000 0.0000 0.0000
Y 0.2169 0.2169 0.2169
Y 0.7831 0.7831 0.7831
S 0.3904 0.3904 0.3904
S 0.6096 0.6096 0.6096

**Total DFT energy (no corrections)**: -6.7511 eV per atom
**Formation energy from raw total energies**: -8.0 eV/f.u.
**Magnetization**: 0.13 μB/atom